1.
DFT (GGA-PBE) results for a relaxed EuTmPtPb crystal.

The structure in CIF format:
```
data_EuTmPtPb
_chemical_formula_sum 'Eu4 Tm4 Pt4 Pb4'
_cell_length_a 7.400
_cell_length_b 7.400
_cell_length_c 7.400
_cell_angle_alpha 90.00
_cell_angle_beta 90.00
_cell_angle_gamma 90.00
_space_group_name_H-M_alt 'F -4 3 m'
_space_group_IT_number 216
_space_group_name_Hall 'F -4 2 3'
loop_
_atom_site_label
_atom_site_fract_x
_atom_site_fract_y
_atom_site_fract_z
Eu1 0.000 0.000 0.000
Tm1 0.000 0.000 0.500
Pt1 0.250 0.250 0.250
Pb1 0.250 0.250 0.750
```

E in eV/atom: -6.77

2.
DFT (GGA-PBE) results for a relaxed EuPuPb crystal.

The structure in CIF format:
```
data_EuPuPb
_chemical_formula_sum 'Eu2 Pu2 Pb2'
_cell_length_a 4.166
_cell_length_b 4.166
_cell_length_c 10.450
_cell_angle_alpha 90.00
_cell_angle_beta 90.00
_cell_angle_gamma 90.00
_space_group_name_H-M_alt 'I 4 m m'
_space_group_IT_number 107
_space_group_name_Hall 'I 4 -2'
loop_
_atom_site_label
_atom_site_fract_x
_atom_site_fract_y
_atom_site_fract_z
Eu1 0.000 0.000 0.000
Pu1 0.000 0.000 0.691
Pb1 0.000 0.000 0.343
```

Distance to the lowest polymorph of the same formula in meV/atom: 0
E in eV/atom: -9.49

3.
DFT (GGA-PBE) results for a relaxed EuPu2Pb crystal.

The structure in CIF format:
```
data_EuPu2Pb
_chemical_formula_sum 'Eu1 Pu2 Pb1'
_cell_length_a 4.740
_cell_length_b 4.740
_cell_length_c 5.126
_cell_angle_alpha 90.00
_cell_angle_beta 90.00
_cell_angle_gamma 90.00
_space_group_name_H-M_alt 'P 4/m m m'
_space_group_IT_number 123
_space_group_name_Hall '-P 4 2'
loop_
_atom_site_label
_atom_site_fract_x
_atom_site_fract_y
_atom_site_fract_z
Eu1 0.000 0.000 0.000
Pu1 0.000 0.500 0.500
Pb1 0.500 0.500 0.000
```

Distance to the lowest polymorph of the same formula in meV/atom: 0
E in eV/atom: -10.76

4.
DFT (GGA-PBE) results for a relaxed Eu2PuPb crystal.

The structure in CIF format:
```
data_Eu2PuPb
_chemical_formula_sum 'Eu2 Pu1 Pb1'
_cell_length_a 5.041
_cell_length_b 5.041
_cell_length_c 4.892
_cell_angle_alpha 90.00
_cell_angle_beta 90.00
_cell_angle_gamma 90.00
_space_group_name_H-M_alt 'P 4/m m m'
_space_group_IT_number 123
_space_group_name_Hall '-P 4 2'
loop_
_atom_site_label
_atom_site_fract_x
_atom_site_fract_y
_atom_site_fract_z
Eu1 0.000 0.500 0.000
Pu1 0.000 0.000 0.500
Pb1 0.500 0.500 0.500
```

E in eV/atom: -9.81

5.
DFT (GGA-PBE) results for a relaxed EuPu2Pb crystal.

The structure in CIF format:
```
data_EuPu2Pb
_chemical_formula_sum 'Eu4 Pu8 Pb4'
_cell_length_a 7.781
_cell_length_b 7.781
_cell_length_c 7.781
_cell_angle_alpha 90.00
_cell_angle_beta 90.00
_cell_angle_gamma 90.00
_space_group_name_H-M_alt 'F m -3 m'
_space_group_IT_number 225
_space_group_name_Hall '-F 4 2 3'
loop_
_atom_site_label
_atom_site_fract_x
_atom_site_fract_y
_atom_site_fract_z
Eu1 0.000 0.000 0.000
Pu1 0.250 0.250 0.250
Pb1 0.000 0.000 0.500
```

Distance to the lowest polymorph of the same formula in meV/atom: 155
E in eV/atom: -10.60

6.
DFT (GGA-PBE) results for a relaxed EuPuPb crystal.

The structure in CIF format:
```
data_EuPuPb
_chemical_formula_sum 'Eu1 Pu1 Pb1'
_cell_length_a 5.4480
_cell_length_b 5.4480
_cell_length_c 3.3234
_cell_angle_alpha 90.00
_cell_angle_beta 90.00
_cell_angle_gamma 120.00
_space_group_name_H-M_alt 'P -6 m 2'
_space_group_IT_number 187
_space_group_name_Hall 'P -6 2'
loop_
_atom_site_label
_atom_site_fract_x
_atom_site_fract_y
_atom_site_fract_z
Eu1 0.0000 0.0000 0.0000
Pu1 0.3333 0.6667 0.0000
Pb1 0.6667 0.3333 0.5000
```

Distance to the lowest polymorph of the same formula in meV/atom: 54
E in eV/atom: -9.44

7.
DFT (GGA-PBE) results for a relaxed EuPuPb2 crystal.

The structure in CIF format:
```
data_EuPuPb2
_chemical_formula_sum 'Eu1 Pu1 Pb2'
_cell_length_a 5.897
_cell_length_b 5.897
_cell_length_c 3.464
_cell_angle_alpha 90.00
_cell_angle_beta 90.00
_cell_angle_gamma 90.00
_space_group_name_H-M_alt 'P 4/m m m'
_space_group_IT_number 123
_space_group_name_Hall '-P 4 2'
loop_
_atom_site_label
_atom_site_fract_x
_atom_site_fract_y
_atom_site_fract_z
Eu1 0.000 0.000 0.000
Pu1 0.500 0.500 0.000
Pb1 0.000 0.500 0.500
```

E in eV/atom: -8.27

8.
DFT (GGA-PBE) results for a relaxed EuPuTlPb crystal.

The structure in CIF format:
```
data_EuPuTlPb
_chemical_formula_sum 'Eu4 Pu4 Tl4 Pb4'
_cell_length_a 7.849
_cell_length_b 7.849
_cell_length_c 7.849
_cell_angle_alpha 90.00
_cell_angle_beta 90.00
_cell_angle_gamma 90.00
_space_group_name_H-M_alt 'F -4 3 m'
_space_group_IT_number 216
_space_group_name_Hall 'F -4 2 3'
loop_
_atom_site_label
_atom_site_fract_x
_atom_site_fract_y
_atom_site_fract_z
Eu1 0.000 0.000 0.000
Pu1 0.000 0.000 0.500
Tl1 0.250 0.250 0.750
Pb1 0.250 0.250 0.250
```

E in eV/atom: -7.90

9.
DFT (GGA-PBE) results for a relaxed RbEuPb2 crystal.

The structure in CIF format:
```
data_RbEuPb2
_chemical_formula_sum 'Rb3 Eu3 Pb6'
_cell_length_a 3.8429
_cell_length_b 3.8429
_cell_length_c 34.6825
_cell_angle_alpha 90.00
_cell_angle_beta 90.00
_cell_angle_gamma 120.00
_space_group_name_H-M_alt 'R -3 m'
_space_group_IT_number 166
_space_group_name_Hall '-R 3 2"'
loop_
_atom_site_label
_atom_site_fract_x
_atom_site_fract_y
_atom_site_fract_z
Rb1 0.0000 0.0000 0.0000
Eu1 0.0000 0.0000 0.5000
Pb1 0.0000 0.0000 0.2440
```

Distance to the lowest polymorph of the same formula in meV/atom: 154
E in eV/atom: -4.81

10.
DFT (GGA-PBE) results for a relaxed RbEu2Pb crystal.

The structure in CIF format:
```
data_RbEu2Pb
_chemical_formula_sum 'Rb1 Eu2 Pb1'
_cell_length_a 4.079
_cell_length_b 4.079
_cell_length_c 11.192
_cell_angle_alpha 90.00
_cell_angle_beta 90.00
_cell_angle_gamma 90.00
_space_group_name_H-M_alt 'P 4/m m m'
_space_group_IT_number 123
_space_group_name_Hall '-P 4 2'
loop_
_atom_site_label
_atom_site_fract_x
_atom_site_fract_y
_atom_site_fract_z
Rb1 0.000 0.000 0.000
Eu1 0.500 0.500 0.331
Pb1 0.000 0.000 0.500
```

Distance to the lowest polymorph of the same formula in meV/atom: 0
E in eV/atom: -6.48

11.
DFT (GGA-PBE) results for a relaxed RbEu2Pb crystal.

The structure in CIF format:
```
data_RbEu2Pb
_chemical_formula_sum 'Rb1 Eu2 Pb1'
_cell_length_a 5.549
_cell_length_b 5.549
_cell_length_c 5.027
_cell_angle_alpha 90.00
_cell_angle_beta 90.00
_cell_angle_gamma 90.00
_space_group_name_H-M_alt 'P 4/m m m'
_space_group_IT_number 123
_space_group_name_Hall '-P 4 2'
loop_
_atom_site_label
_atom_site_fract_x
_atom_site_fract_y
_atom_site_fract_z
Rb1 0.000 0.000 0.000
Eu1 0.000 0.500 0.500
Pb1 0.500 0.500 0.000
```

Distance to the lowest polymorph of the same formula in meV/atom: 110
E in eV/atom: -6.37

12.
DFT (GGA-PBE) results for a relaxed RbEuPb2 crystal.

The structure in CIF format:
```
data_RbEuPb2
_chemical_formula_sum 'Rb1 Eu1 Pb2'
_cell_length_a 4.199
_cell_length_b 4.199
_cell_length_c 8.615
_cell_angle_alpha 90.00
_cell_angle_beta 90.00
_cell_angle_gamma 90.00
_space_group_name_H-M_alt 'P 4/m m m'
_space_group_IT_number 123
_space_group_name_Hall '-P 4 2'
loop_
_atom_site_label
_atom_site_fract_x
_atom_site_fract_y
_atom_site_fract_z
Rb1 0.000 0.000 0.000
Eu1 0.000 0.000 0.500
Pb1 0.500 0.500 0.301
```

Distance to the lowest polymorph of the same formula in meV/atom: 0
E in eV/atom: -4.96

13.
DFT (GGA-PBE) results for a relaxed RbEuPb4 crystal.

The structure in CIF format:
```
data_RbEuPb4
_chemical_formula_sum 'Rb4 Eu4 Pb16'
_cell_length_a 9.463
_cell_length_b 9.463
_cell_length_c 9.463
_cell_angle_alpha 90.00
_cell_angle_beta 90.00
_cell_angle_gamma 90.00
_space_group_name_H-M_alt 'F -4 3 m'
_space_group_IT_number 216
_space_group_name_Hall 'F -4 2 3'
loop_
_atom_site_label
_atom_site_fract_x
_atom_site_fract_y
_atom_site_fract_z
Rb1 0.000 0.000 0.000
Eu1 0.250 0.250 0.750
Pb1 0.124 0.124 0.376
```

E in eV/atom: -4.55

14.
DFT (GGA-PBE) results for a relaxed RbEuTlPb crystal.

The structure in CIF format:
```
data_RbEuTlPb
_chemical_formula_sum 'Rb4 Eu4 Tl4 Pb4'
_cell_length_a 8.350
_cell_length_b 8.350
_cell_length_c 8.350
_cell_angle_alpha 90.00
_cell_angle_beta 90.00
_cell_angle_gamma 90.00
_space_group_name_H-M_alt 'F -4 3 m'
_space_group_IT_number 216
_space_group_name_Hall 'F -4 2 3'
loop_
_atom_site_label
_atom_site_fract_x
_atom_site_fract_y
_atom_site_fract_z
Rb1 0.000 0.000 0.000
Eu1 0.000 0.000 0.500
Tl1 0.250 0.250 0.250
Pb1 0.250 0.250 0.750
```

E in eV/atom: -4.50

15.
DFT (GGA-PBE) results for a relaxed EuRhPb2 crystal.

The structure in CIF format:
```
data_EuRhPb2
_chemical_formula_sum 'Eu3 Rh3 Pb6'
_cell_length_a 4.6353
_cell_length_b 4.6353
_cell_length_c 16.7555
_cell_angle_alpha 90.00
_cell_angle_beta 90.00
_cell_angle_gamma 120.00
_space_group_name_H-M_alt 'R -3 m'
_space_group_IT_number 166
_space_group_name_Hall '-R 3 2"'
loop_
_atom_site_label
_atom_site_fract_x
_atom_site_fract_y
_atom_site_fract_z
Eu1 0.0000 0.0000 0.0000
Rh1 0.0000 0.0000 0.5000
Pb1 0.0000 0.0000 0.2241
```

Distance to the lowest polymorph of the same formula in meV/atom: 0
E in eV/atom: -6.57

16.
DFT (GGA-PBE) results for a relaxed Eu2RhPb crystal.

The structure in CIF format:
```
data_Eu2RhPb
_chemical_formula_sum 'Eu2 Rh1 Pb1'
_cell_length_a 3.499
_cell_length_b 3.499
_cell_length_c 8.714
_cell_angle_alpha 90.00
_cell_angle_beta 90.00
_cell_angle_gamma 90.00
_space_group_name_H-M_alt 'P 4/m m m'
_space_group_IT_number 123
_space_group_name_Hall '-P 4 2'
loop_
_atom_site_label
_atom_site_fract_x
_atom_site_fract_y
_atom_site_fract_z
Eu1 0.000 0.000 0.204
Rh1 0.500 0.500 0.000
Pb1 0.500 0.500 0.500
```

E in eV/atom: -8.33

17.
DFT (GGA-PBE) results for a relaxed EuRhPb crystal.

The structure in CIF format:
```
data_EuRhPb
_chemical_formula_sum 'Eu2 Rh2 Pb2'
_cell_length_a 3.527
_cell_length_b 3.527
_cell_length_c 11.521
_cell_angle_alpha 90.00
_cell_angle_beta 90.00
_cell_angle_gamma 90.00
_space_group_name_H-M_alt 'I 4 m m'
_space_group_IT_number 107
_space_group_name_Hall 'I 4 -2'
loop_
_atom_site_label
_atom_site_fract_x
_atom_site_fract_y
_atom_site_fract_z
Eu1 0.000 0.000 0.000
Rh1 0.000 0.000 0.332
Pb1 0.000 0.000 0.712
```

E in eV/atom: -7.45

18.
DFT (GGA-PBE) results for a relaxed EuRhPb2 crystal.

The structure in CIF format:
```
data_EuRhPb2
_chemical_formula_sum 'Eu1 Rh1 Pb2'
_cell_length_a 3.556
_cell_length_b 3.556
_cell_length_c 7.732
_cell_angle_alpha 90.00
_cell_angle_beta 90.00
_cell_angle_gamma 90.00
_space_group_name_H-M_alt 'P 4/m m m'
_space_group_IT_number 123
_space_group_name_Hall '-P 4 2'
loop_
_atom_site_label
_atom_site_fract_x
_atom_site_fract_y
_atom_site_fract_z
Eu1 0.000 0.000 0.000
Rh1 0.000 0.000 0.500
Pb1 0.500 0.500 0.299
```

Distance to the lowest polymorph of the same formula in meV/atom: 76
E in eV/atom: -6.50

19.
DFT (GGA-PBE) results for a relaxed Eu2RhPb crystal.

The structure in CIF format:
```
data_Eu2RhPb
_chemical_formula_sum 'Eu2 Rh1 Pb1'
_cell_length_a 4.919
_cell_length_b 4.919
_cell_length_c 4.287
_cell_angle_alpha 90.00
_cell_angle_beta 90.00
_cell_angle_gamma 90.00
_space_group_name_H-M_alt 'P 4/m m m'
_space_group_IT_number 123
_space_group_name_Hall '-P 4 2'
loop_
_atom_site_label
_atom_site_fract_x
_atom_site_fract_y
_atom_site_fract_z
Eu1 0.000 0.500 0.000
Rh1 0.000 0.000 0.500
Pb1 0.500 0.500 0.500
```

E in eV/atom: -8.22

20.
DFT (GGA-PBE) results for a relaxed EuRhPb crystal.

The structure in CIF format:
```
data_EuRhPb
_chemical_formula_sum 'Eu1 Rh1 Pb1'
_cell_length_a 4.7285
_cell_length_b 4.7285
_cell_length_c 3.9083
_cell_angle_alpha 90.00
_cell_angle_beta 90.00
_cell_angle_gamma 120.00
_space_group_name_H-M_alt 'P -6 m 2'
_space_group_IT_number 187
_space_group_name_Hall 'P -6 2'
loop_
_atom_site_label
_atom_site_fract_x
_atom_site_fract_y
_atom_site_fract_z
Eu1 0.0000 0.0000 0.0000
Rh1 0.3333 0.6667 0.5000
Pb1 0.6667 0.3333 0.5000
```

E in eV/atom: -7.46

no.,calculated volume (Å³ per cell),energy of formation from the pure elements (meV/atom)
1,405.2,-645
2,181.4,-52
3,115.2,-97
4,124.3,-162
5,471.0,58
6,85.4,2
7,120.5,-268
8,483.6,-230
9,443.6,-141
10,186.2,-173
11,154.8,-63
12,151.9,-296
13,847.5,-206
14,582.3,-173
15,311.8,-311
16,106.7,-432
17,143.3,-337
18,97.8,-235
19,103.7,-321
20,75.7,-349